The following is a GGA-PBE calculation of a relaxed LaMgFe2 crystal, from Alexandria.

Lattice parameters (Å, degrees): 6.6360 6.6360 6.6360 34.94 34.94 34.94
Fractional coordinates of all 4 atoms:
La 0.0000 0.0000 0.0000
Mg 0.8140 0.8140 0.8140
Fe 0.2263 0.2263 0.2263
Fe 0.5574 0.5574 0.5574

## Properties
**ΔE_f**: 0.6 eV/f.u.
**Symmetry**: No. 160
**Energy**: -5.724 eV per atom